Li3Zn7Ag2 | PBE | relaxed

POSCAR file:
```
Li3Zn7Ag2
1.0
-0.546 -2.726 1.277
1.964 -1.921 -3.263
11.904 1.784 8.899
Zn Ag Li
7 2 3
Cartesian
1.809 -1.241 1.789
2.751 -0.859 -0.659
6.718 -0.916 4.581
11.513 -1.622 5.123
11.116 0.723 6.295
0.000 0.000 0.000
6.604 -1.947 2.331
8.944 -0.767 5.851
4.378 -2.096 1.062
4.730 0.298 2.659
0.709 -2.324 -0.993
9.138 -0.435 2.978
```

Output
For the total energy, the calculation gives -0.1311 Ry/atom. For the formation energy, the calculation gives -1.039 eV per formula unit. The calculation puts the volume at 193 Å³/cell. The calculation puts the density of states at the Fermi level at 3.3 states/eV per cell.